Material: PtS3Cl
Method: DFT, PBE
State: optimized geometry

## Properties
Its uncorrected energy is -3.307 eV/atom. The formation energy (no corrections) is 360 kJ/mol of formula units. The calculation puts the density of states at the Fermi level at 8.03 states/eV/f.u. As for the total magnetic moment: 0.00 μB/cell.

a b c (Å): 4.725 4.725 4.725
angles (deg): 90.00 90.00 90.00
Atoms (fractional coordinates):
Pt 0.000 0.000 0.000
S 0.000 0.000 0.500
S 0.000 0.500 0.000
S 0.500 0.000 0.000
Cl 0.500 0.500 0.500



Material: CsSc2CuS4
Method: DFT, PBE
State: optimized geometry

## Properties
Its uncorrected energy is -5.728 eV/atom. The formation energy (no corrections) is -1129 kJ/mol of formula units. As for the total magnetic moment: 0.00 μB/cell.

a b c (Å): 7.145 7.145 13.387
angles (deg): 90.00 90.00 148.77
Atoms (fractional coordinates):
Cs 0.110 0.890 0.750
Cs 0.890 0.110 0.250
Sc 0.369 0.631 0.564
Sc 0.369 0.631 0.936
Sc 0.631 0.369 0.064
Sc 0.631 0.369 0.436
Cu 0.169 0.831 0.250
Cu 0.831 0.169 0.750
S 0.000 0.000 0.000
S 0.000 0.000 0.500
S 0.249 0.751 0.099
S 0.249 0.751 0.401
S 0.421 0.579 0.750
S 0.579 0.421 0.250
S 0.751 0.249 0.599
S 0.751 0.249 0.901



Material: CaThAu
Method: DFT, PBE
State: optimized geometry

## Properties
Its uncorrected energy is -4.501 eV/atom. The calculation puts the density of states at the Fermi level at 4.35 states/eV/f.u. As for the energy of formation: -268.5 meV per atom. As for the total magnetic moment: 0.00 μB/cell.

a b c (Å): 9.823 9.823 9.823
angles (deg): 28.20 28.20 28.20
Atoms (fractional coordinates):
Ca 0.128 0.128 0.128
Ca 0.872 0.872 0.872
Th 0.372 0.372 0.372
Th 0.628 0.628 0.628
Au 0.250 0.250 0.250
Au 0.750 0.750 0.750



Material: SmGd2Dy
Method: DFT, PBE
State: optimized geometry

## Properties
Its uncorrected energy is -9.270 eV/atom. The calculation puts the density of states at the Fermi level at 6.32 states/eV/f.u. As for the energy of formation: 100.6 meV per atom. As for the total magnetic moment: 16.15 μB/cell.

a b c (Å): 5.703 5.703 5.703
angles (deg): 60.00 60.00 60.00
Atoms (fractional coordinates):
Sm 0.000 0.000 0.000
Gd 0.250 0.250 0.250
Gd 0.750 0.750 0.750
Dy 0.500 0.500 0.500



Material: TlGaHgAu2
Method: DFT, PBE
State: optimized geometry

## Properties
Its uncorrected energy is -2.529 eV/atom. The calculation puts the density of states at the Fermi level at 1.29 states/eV/f.u. As for the energy of formation: -79.2 meV per atom. As for the total magnetic moment: 0.00 μB/cell.

a b c (Å): 7.548 7.548 10.542
angles (deg): 129.82 129.82 32.98
Atoms (fractional coordinates):
Tl 0.034 0.034 0.182
Tl 0.966 0.966 0.818
Ga 0.381 0.381 0.456
Ga 0.619 0.619 0.544
Hg 0.285 0.285 0.886
Hg 0.715 0.715 0.114
Au 0.232 0.232 0.573
Au 0.406 0.406 0.232
Au 0.594 0.594 0.768
Au 0.768 0.768 0.427



Material: Nd4SmRh5
Method: DFT, PBE
State: optimized geometry

## Properties
Its uncorrected energy is -6.702 eV/atom. The calculation puts the density of states at the Fermi level at 8.19 states/eV/f.u. As for the energy of formation: -646.9 meV per atom. As for the total magnetic moment: 0.00 μB/cell.

a b c (Å): 3.574 3.574 17.285
angles (deg): 90.00 90.00 90.00
Atoms (fractional coordinates):
Nd 0.000 0.000 0.100
Nd 0.000 0.000 0.301
Nd 0.000 0.000 0.699
Nd 0.000 0.000 0.900
Sm 0.000 0.000 0.500
Rh 0.500 0.500 0.000
Rh 0.500 0.500 0.201
Rh 0.500 0.500 0.403
Rh 0.500 0.500 0.597
Rh 0.500 0.500 0.799



Material: Pm2MgAs
Method: DFT, PBE
State: optimized geometry

## Properties
Its uncorrected energy is -4.583 eV/atom. The calculation puts the density of states at the Fermi level at 2.79 states/eV/f.u. As for the energy of formation: -646.5 meV per atom. As for the total magnetic moment: 0.00 μB/cell.

a b c (Å): 3.889 3.889 6.853
angles (deg): 90.00 90.00 90.00
Atoms (fractional coordinates):
Pm 0.000 0.000 0.232
Pm 0.000 0.000 0.768
Mg 0.500 0.500 0.500
As 0.500 0.500 0.000



Material: PaVC
Method: DFT, PBE
State: optimized geometry

## Properties
Its uncorrected energy is -9.169 eV/atom. The calculation puts the density of states at the Fermi level at 3.53 states/eV/f.u. As for the energy of formation: 110.5 meV per atom. As for the total magnetic moment: 0.00 μB/cell.

a b c (Å): 3.545 3.545 4.128
angles (deg): 90.00 90.00 120.00
Atoms (fractional coordinates):
Pa 0.000 0.000 0.000
V 0.333 0.667 0.500
C 0.667 0.333 0.500



Material: LaSm2Er9
Method: DFT, PBE
State: optimized geometry

## Properties
Its uncorrected energy is -4.591 eV/atom. The calculation puts the density of states at the Fermi level at 17.29 states/eV/f.u. As for the energy of formation: 28.2 meV per atom. As for the total magnetic moment: 0.00 μB/cell.

a b c (Å): 5.018 5.018 15.062
angles (deg): 90.00 90.00 90.00
Atoms (fractional coordinates):
La 0.000 0.000 0.000
Sm 0.000 0.000 0.334
Sm 0.000 0.000 0.666
Er 0.000 0.500 0.169
Er 0.000 0.500 0.500
Er 0.000 0.500 0.831
Er 0.500 0.000 0.169
Er 0.500 0.000 0.500
Er 0.500 0.000 0.831
Er 0.500 0.500 0.000
Er 0.500 0.500 0.335
Er 0.500 0.500 0.665



Material: UTl2InI8
Method: DFT, PBE
State: optimized geometry

## Properties
Its uncorrected energy is -3.250 eV/atom. The formation energy (no corrections) is -757 kJ/mol of formula units. The calculation puts the density of states at the Fermi level at 0.12 states/eV/f.u. As for the total magnetic moment: 0.97 μB/cell.

a b c (Å): 7.394 9.821 8.338
angles (deg): 90.00 90.22 90.00
Atoms (fractional coordinates):
U 0.000 0.000 0.000
Tl 0.500 0.265 0.500
Tl 0.500 0.735 0.500
In 0.000 0.500 0.000
I 0.205 0.000 0.701
I 0.236 0.217 0.129
I 0.236 0.783 0.129
I 0.264 0.500 0.677
I 0.736 0.500 0.323
I 0.764 0.217 0.871
I 0.764 0.783 0.871
I 0.795 0.000 0.299



Material: La3SeF
Method: DFT, PBE
State: optimized geometry

## Properties
Its uncorrected energy is -5.342 eV/atom. The formation energy (no corrections) is -634 kJ/mol of formula units. The calculation puts the density of states at the Fermi level at 4.97 states/eV/f.u. As for the total magnetic moment: 0.00 μB/cell.

a b c (Å): 5.007 5.007 5.007
angles (deg): 90.00 90.00 90.00
Atoms (fractional coordinates):
La 0.000 0.000 0.500
La 0.000 0.500 0.000
La 0.500 0.000 0.000
Se 0.500 0.500 0.500
F 0.000 0.000 0.000



Material: Pr2ZrTl
Method: DFT, PBE
State: optimized geometry

## Properties
Its uncorrected energy is -5.178 eV/atom. The calculation puts the density of states at the Fermi level at 5.19 states/eV/f.u. As for the energy of formation: -59.5 meV per atom. As for the total magnetic moment: 0.00 μB/cell.

a b c (Å): 4.815 4.815 4.891
angles (deg): 90.00 90.00 90.00
Atoms (fractional coordinates):
Pr 0.000 0.500 0.000
Pr 0.500 0.000 0.000
Zr 0.000 0.000 0.500
Tl 0.500 0.500 0.500



Material: SrCoSi2
Method: DFT, PBE
State: optimized geometry

## Properties
Its uncorrected energy is -5.049 eV/atom. The formation energy (no corrections) is -54 kJ/mol of formula units. The calculation puts the density of states at the Fermi level at 2.79 states/eV/f.u. As for the total magnetic moment: 0.00 μB/cell.

a b c (Å): 3.098 3.098 7.056
angles (deg): 90.00 90.00 90.00
Atoms (fractional coordinates):
Sr 0.000 0.000 0.000
Co 0.000 0.000 0.500
Si 0.500 0.500 0.328
Si 0.500 0.500 0.672



Material: Nd2ErZn
Method: DFT, PBE
State: optimized geometry

## Properties
Its uncorrected energy is -3.979 eV/atom. The calculation puts the density of states at the Fermi level at 3.97 states/eV/f.u. As for the energy of formation: -135.5 meV per atom. As for the total magnetic moment: 0.00 μB/cell.

a b c (Å): 3.660 3.660 8.699
angles (deg): 90.00 90.00 90.00
Atoms (fractional coordinates):
Nd 0.000 0.000 0.213
Nd 0.000 0.000 0.787
Er 0.500 0.500 0.500
Zn 0.500 0.500 0.000



Material: KRb2Pu2O7
Method: DFT, PBE
State: optimized geometry

## Properties
Its uncorrected energy is -7.936 eV/atom. The formation energy (no corrections) is -2781 kJ/mol of formula units. The calculation puts the density of states at the Fermi level at 8.27 states/eV/f.u. As for the total magnetic moment: 5.00 μB/cell.

a b c (Å): 11.772 11.772 11.772
angles (deg): 158.93 158.93 29.97
Atoms (fractional coordinates):
K 0.000 0.000 0.000
Rb 0.190 0.190 0.000
Rb 0.810 0.810 0.000
Pu 0.407 0.407 0.000
Pu 0.593 0.593 0.000
O 0.091 0.591 0.500
O 0.321 0.321 0.000
O 0.409 0.909 0.500
O 0.500 0.500 0.000
O 0.591 0.091 0.500
O 0.679 0.679 0.000
O 0.909 0.409 0.500



Material: BaMg3N
Method: DFT, PBE
State: optimized geometry

## Properties
Its uncorrected energy is -0.824 eV/atom. The formation energy (no corrections) is 1053 kJ/mol of formula units. The calculation puts the density of states at the Fermi level at 26.53 states/eV/f.u. As for the total magnetic moment: 0.00 μB/cell.

a b c (Å): 6.968 6.968 6.968
angles (deg): 90.00 90.00 90.00
Atoms (fractional coordinates):
Ba 0.000 0.000 0.000
Mg 0.000 0.000 0.500
Mg 0.000 0.500 0.000
Mg 0.500 0.000 0.000
N 0.500 0.500 0.500



Material: CsNb
Method: DFT, PBE
State: optimized geometry

## Properties
Its uncorrected energy is -4.469 eV/atom. The calculation puts the density of states at the Fermi level at 1.89 states/eV/f.u. As for the energy of formation: 992.3 meV per atom. As for the total magnetic moment: 0.00 μB/cell.

a b c (Å): 4.931 12.532 12.573
angles (deg): 90.00 90.00 90.00
Atoms (fractional coordinates):
Cs 0.001 0.127 0.227
Cs 0.002 0.093 0.889
Cs 0.498 0.907 0.389
Cs 0.499 0.873 0.727
Cs 0.501 0.373 0.773
Cs 0.502 0.407 0.111
Cs 0.998 0.593 0.611
Cs 0.999 0.627 0.273
Nb 0.007 0.628 0.938
Nb 0.007 0.799 0.022
Nb 0.493 0.201 0.522
Nb 0.493 0.372 0.438
Nb 0.507 0.701 0.978
Nb 0.507 0.872 0.062
Nb 0.993 0.128 0.562
Nb 0.993 0.299 0.478



Material: CuAgGeF6
Method: DFT, PBE
State: optimized geometry

## Properties
Its uncorrected energy is -4.324 eV/atom. The formation energy (no corrections) is -1556 kJ/mol of formula units. The calculation puts the density of states at the Fermi level at 5.95 states/eV/f.u. As for the total magnetic moment: 0.30 μB/cell.

a b c (Å): 5.552 5.552 9.932
angles (deg): 90.00 90.00 120.00
Atoms (fractional coordinates):
Cu 0.333 0.667 0.250
Cu 0.667 0.333 0.750
Ag 0.000 0.000 0.000
Ag 0.000 0.000 0.500
Ge 0.333 0.667 0.750
Ge 0.667 0.333 0.250
F 0.054 0.398 0.645
F 0.054 0.656 0.855
F 0.344 0.398 0.855
F 0.344 0.946 0.645
F 0.398 0.054 0.145
F 0.398 0.344 0.355
F 0.602 0.656 0.645
F 0.602 0.946 0.855
F 0.656 0.054 0.355
F 0.656 0.602 0.145
F 0.946 0.344 0.145
F 0.946 0.602 0.355



Material: La2TlCuRh
Method: DFT, PBE
State: optimized geometry

## Properties
Its uncorrected energy is -4.076 eV/atom. The calculation puts the density of states at the Fermi level at 4.14 states/eV/f.u. As for the energy of formation: 657.4 meV per atom. As for the total magnetic moment: 0.00 μB/cell.

a b c (Å): 5.939 5.939 4.686
angles (deg): 90.00 90.00 90.00
Atoms (fractional coordinates):
La 0.000 0.500 0.000
La 0.500 0.000 0.000
Tl 0.000 0.000 0.000
Cu 0.000 0.000 0.500
Rh 0.500 0.500 0.500



Material: Na2ScBiH
Method: DFT, PBE
State: optimized geometry

## Properties
Its uncorrected energy is -3.507 eV/atom. The calculation puts the density of states at the Fermi level at 3.19 states/eV/f.u. As for the total magnetic moment: 0.05 μB/cell.

a b c (Å): 4.531 4.531 4.916
angles (deg): 90.00 90.00 90.00
Atoms (fractional coordinates):
Na 0.000 0.500 0.000
Na 0.500 0.000 0.000
Sc 0.000 0.000 0.500
Bi 0.500 0.500 0.500
H 0.000 0.000 0.000